NdTmZn6 | PBE | optimized geometry

Cell lengths 4.6968, 6.6839, 4.6970 Å; angles 90.00, 90.00, 90.00 degrees
Last column: nearest neighbours and their distance in Å.
Positions (direct):
Nd  0.0000  0.0000  0.0000  8 Zn 2.93
Tm  0.5000  0.5000  0.4940  8 Zn 2.83-2.84
Zn  0.0000  0.2625  0.5008  4 Zn 2.83-2.93, 2 Tm 2.83, 2 Nd 2.93
Zn  0.0000  0.5000  0.9995  8 Zn 2.83-2.84
Zn  0.0000  0.7375  0.5008  4 Zn 2.83-2.93, 2 Tm 2.83, 2 Nd 2.93
Zn  0.5000  0.0000  0.4968  8 Zn 2.92-2.94
Zn  0.5000  0.2625  0.9935  2 Tm 2.83-2.84, 4 Zn 2.83-2.94, 2 Nd 2.93
Zn  0.5000  0.7375  0.9935  2 Tm 2.83-2.84, 4 Zn 2.83-2.94, 2 Nd 2.93

Results
**Crystal system**: orthorhombic
**Final energy**: -19.04 eV/cell
**Calculated density**: 7.9 g cm⁻³
**ΔE_f**: -2.2 eV per formula unit